--- i ---
## DyCSe (GGA-PBE)

Data for an optimized crystal structure of DyCSe. Values from VASP.

Calculated values
- Space-group type: C2/m, No. 12

Structure (Quantum ESPRESSO input):
```
&SYSTEM
  ibrav = 0, nat = 6, ntyp = 3
/
ATOMIC_SPECIES
Dy 162.50 Dy.upf
C 12.01 C.upf
Se 78.96 Se.upf
ATOMIC_POSITIONS angstrom
Dy -0.485 0.000 2.211
Dy 7.832 0.000 4.983
C 2.167 0.000 6.568
C 5.180 0.000 0.626
Se 2.370 0.000 2.626
Se 4.977 0.000 4.568
CELL_PARAMETERS angstrom
5.224 -1.844 0.000
5.224 1.844 0.000
-3.101 0.000 7.194
```

--- ii ---
## DyCSe (GGA-PBE)

Data for an optimized crystal structure of DyCSe. Values from VASP.

Calculated values
- Space-group type: C2/m, No. 12

Structure (Quantum ESPRESSO input):
```
&SYSTEM
  ibrav = 0, nat = 6, ntyp = 3
/
ATOMIC_SPECIES
Dy 162.50 Dy.upf
C 12.01 C.upf
Se 78.96 Se.upf
ATOMIC_POSITIONS angstrom
Dy 1.109 0.000 3.372
Dy 6.379 0.000 6.703
C 3.141 0.000 4.834
C 4.346 0.000 5.240
Se 1.269 0.000 8.057
Se 6.219 0.000 2.018
CELL_PARAMETERS angstrom
3.790 -1.996 0.000
3.790 1.996 0.000
-0.092 0.000 10.074
```

Which of them is least stable? Easy: i.

--- i ---
## SmDy2C (GGA-PBE)

Data for an optimized crystal structure of SmDy2C. Values from VASP.

Calculated values
- Space-group type: P-3m1, No. 164

Structure (Quantum ESPRESSO input):
```
&SYSTEM
  ibrav = 0, nat = 4, ntyp = 3
/
ATOMIC_SPECIES
Sm 150.36 Sm.upf
Dy 162.50 Dy.upf
C 12.01 C.upf
ATOMIC_POSITIONS angstrom
Sm 0.000 0.000 0.000
Dy 0.000 2.073 5.949
Dy 1.796 1.037 3.243
C 0.000 0.000 4.596
CELL_PARAMETERS angstrom
3.591 0.000 0.000
-1.796 3.110 0.000
0.000 0.000 9.193
```

--- ii ---
## SmDy2C (GGA-PBE)

Data for an optimized crystal structure of SmDy2C. Values from VASP.

Calculated values
- Space-group type: R-3m, No. 166

Structure (Quantum ESPRESSO input):
```
&SYSTEM
  ibrav = 0, nat = 4, ntyp = 3
/
ATOMIC_SPECIES
Sm 150.36 Sm.upf
Dy 162.50 Dy.upf
C 12.01 C.upf
ATOMIC_POSITIONS angstrom
Sm 0.000 0.000 0.000
Dy 0.000 0.000 3.551
Dy 0.000 0.000 25.837
C 0.000 0.000 14.694
CELL_PARAMETERS angstrom
1.767 1.020 9.796
-1.767 1.020 9.796
0.000 -2.040 9.796
```

Which of them is least stable? Easy: ii.

--- i ---
## DyTaC2 (GGA-PBE)

Data for an optimized crystal structure of DyTaC2. Values from VASP.

Calculated values
- Space-group type: R3m, No. 160

Structure (Quantum ESPRESSO input):
```
&SYSTEM
  ibrav = 0, nat = 4, ntyp = 3
/
ATOMIC_SPECIES
Dy 162.50 Dy.upf
Ta 180.95 Ta.upf
C 12.01 C.upf
ATOMIC_POSITIONS angstrom
Dy 0.000 0.000 0.000
Ta 0.000 0.000 3.044
C 0.000 0.000 10.093
C 0.000 0.000 13.439
CELL_PARAMETERS angstrom
1.635 0.944 5.833
-1.635 0.944 5.833
0.000 -1.888 5.833
```

--- ii ---
## DyTaC2 (GGA-PBE)

Data for an optimized crystal structure of DyTaC2. Values from VASP.

Calculated values
- Space-group type: R-3m, No. 166

Structure (Quantum ESPRESSO input):
```
&SYSTEM
  ibrav = 0, nat = 4, ntyp = 3
/
ATOMIC_SPECIES
Dy 162.50 Dy.upf
Ta 180.95 Ta.upf
C 12.01 C.upf
ATOMIC_POSITIONS angstrom
Dy 0.000 0.000 0.000
Ta 0.000 0.000 8.389
C 0.000 0.000 4.010
C 0.000 0.000 12.768
CELL_PARAMETERS angstrom
1.653 0.954 5.593
-1.653 0.954 5.593
0.000 -1.909 5.593
```

Which of them is least stable? Easy: i.

--- i ---
## Dy3TcC3 (GGA-PBE)

Data for an optimized crystal structure of Dy3TcC3. Values from VASP.

Calculated values
- Space-group type: P6_3/m, No. 176

Structure (Quantum ESPRESSO input):
```
&SYSTEM
  ibrav = 0, nat = 14, ntyp = 3
/
ATOMIC_SPECIES
Dy 162.50 Dy.upf
Tc 98.00 Tc.upf
C 12.01 C.upf
ATOMIC_POSITIONS angstrom
Dy -2.049 4.686 1.263
Dy 0.708 2.363 1.263
Dy 2.400 0.568 3.789
Dy 1.341 5.912 1.263
Dy 3.034 4.118 3.789
Dy 5.791 1.794 3.789
Tc 0.000 4.320 3.789
Tc 3.742 2.160 1.263
C -1.911 4.522 3.789
C 0.781 2.564 3.789
C 2.611 0.606 1.263
C 1.131 5.875 3.789
C 2.961 3.916 1.263
C 5.653 1.958 1.263
CELL_PARAMETERS angstrom
7.483 0.000 0.000
-3.742 6.481 0.000
0.000 0.000 5.052
```

--- ii ---
## Dy3TcC3 (GGA-PBE)

Data for an optimized crystal structure of Dy3TcC3. Values from VASP.

Calculated values
- Space-group type: Cmcm, No. 63

Structure (Quantum ESPRESSO input):
```
&SYSTEM
  ibrav = 0, nat = 14, ntyp = 3
/
ATOMIC_SPECIES
Dy 162.50 Dy.upf
Tc 98.00 Tc.upf
C 12.01 C.upf
ATOMIC_POSITIONS angstrom
Dy 4.350 4.094 3.853
Dy 2.491 1.243 3.853
Dy 2.491 -1.243 1.284
Dy 6.208 1.243 3.853
Dy 6.208 -1.243 1.284
Dy 4.350 -4.094 1.284
Tc 4.350 1.995 1.284
Tc 4.350 -1.995 3.853
C 4.350 3.936 1.284
C 2.550 1.280 1.284
C 2.550 -1.280 3.853
C 6.150 1.280 1.284
C 6.150 -1.280 3.853
C 4.350 -3.936 3.853
CELL_PARAMETERS angstrom
4.350 -5.223 0.000
4.350 5.223 0.000
0.000 0.000 5.138
```

Which of them is least stable? Easy: i.

--- i ---
## Dy2TcC2 (GGA-PBE)

Data for an optimized crystal structure of Dy2TcC2. Values from VASP.

Calculated values
- Space-group type: C2/m, No. 12

Structure (Quantum ESPRESSO input):
```
&SYSTEM
  ibrav = 0, nat = 10, ntyp = 3
/
ATOMIC_SPECIES
Dy 162.50 Dy.upf
Tc 98.00 Tc.upf
C 12.01 C.upf
ATOMIC_POSITIONS angstrom
Dy -0.535 0.000 1.613
Dy 0.776 0.000 5.137
Dy 7.170 0.000 0.713
Dy 8.481 0.000 4.238
Tc 2.854 0.000 2.170
Tc 5.092 0.000 3.680
C 1.658 0.000 0.642
C 3.180 0.000 4.230
C 4.766 0.000 1.620
C 6.288 0.000 5.208
CELL_PARAMETERS angstrom
5.568 -2.554 0.000
5.568 2.554 0.000
-3.191 0.000 5.850
```

--- ii ---
## Dy2TcC2 (GGA-PBE)

Data for an optimized crystal structure of Dy2TcC2. Values from VASP.

Calculated values
- Space-group type: Pnma, No. 62

Structure (Quantum ESPRESSO input):
```
&SYSTEM
  ibrav = 0, nat = 20, ntyp = 3
/
ATOMIC_SPECIES
Dy 162.50 Dy.upf
Tc 98.00 Tc.upf
C 12.01 C.upf
ATOMIC_POSITIONS angstrom
Dy 0.212 1.277 2.133
Dy 1.169 1.277 5.502
Dy 2.115 3.832 0.560
Dy 3.071 3.832 7.076
Dy 3.496 1.277 2.809
Dy 4.452 1.277 9.325
Dy 5.398 3.832 4.382
Dy 6.355 3.832 7.751
Tc 1.438 1.277 8.555
Tc 1.846 3.832 3.612
Tc 4.721 1.277 6.272
Tc 5.129 3.832 1.330
C 0.316 3.832 2.387
C 1.179 3.832 5.418
C 2.105 1.277 0.475
C 2.967 1.277 7.329
C 3.600 3.832 2.555
C 4.462 3.832 9.409
C 5.388 1.277 4.467
C 6.251 1.277 7.498
CELL_PARAMETERS angstrom
6.567 0.000 0.000
0.000 5.109 0.000
0.000 0.000 9.885
```

Which of them is least stable? Easy: i.

--- i ---
## DyTcC2 (GGA-PBE)

Data for an optimized crystal structure of DyTcC2. Values from VASP.

Calculated values
- Space-group type: Amm2, No. 38

Structure (Quantum ESPRESSO input):
```
&SYSTEM
  ibrav = 0, nat = 4, ntyp = 3
/
ATOMIC_SPECIES
Dy 162.50 Dy.upf
Tc 98.00 Tc.upf
C 12.01 C.upf
ATOMIC_POSITIONS angstrom
Dy 0.000 0.000 0.000
Tc 1.833 0.000 2.489
C 1.833 -0.715 4.483
C 1.833 0.715 4.483
CELL_PARAMETERS angstrom
3.666 0.000 0.000
0.000 2.422 3.080
0.000 -2.422 3.080
```

--- ii ---
## DyTcC2 (GGA-PBE)

Data for an optimized crystal structure of DyTcC2. Values from VASP.

Calculated values
- Space-group type: R-3m, No. 166

Structure (Quantum ESPRESSO input):
```
&SYSTEM
  ibrav = 0, nat = 4, ntyp = 3
/
ATOMIC_SPECIES
Dy 162.50 Dy.upf
Tc 98.00 Tc.upf
C 12.01 C.upf
ATOMIC_POSITIONS angstrom
Dy 0.000 0.000 0.000
Tc 0.000 0.000 8.193
C 0.000 0.000 3.890
C 0.000 0.000 12.495
CELL_PARAMETERS angstrom
1.614 0.932 5.462
-1.614 0.932 5.462
0.000 -1.864 5.462
```

Which of them is least stable? Easy: ii.

--- i ---
## Dy3TeC (GGA-PBE)

Data for an optimized crystal structure of Dy3TeC. Values from VASP.

Calculated values
- Space-group type: Cmc2_1, No. 36

Structure (Quantum ESPRESSO input):
```
&SYSTEM
  ibrav = 0, nat = 10, ntyp = 3
/
ATOMIC_SPECIES
Dy 162.50 Dy.upf
Te 127.60 Te.upf
C 12.01 C.upf
ATOMIC_POSITIONS angstrom
Dy 1.884 8.168 3.690
Dy 1.884 4.531 6.633
Dy 1.884 1.926 4.577
Dy 1.884 -1.926 0.887
Dy 1.884 -4.531 2.943
Dy 1.884 -8.168 0.000
Te 1.884 2.963 1.827
Te 1.884 -2.963 5.517
C 1.884 6.604 1.957
C 1.884 -6.604 5.647
CELL_PARAMETERS angstrom
1.884 -9.641 0.000
1.884 9.641 0.000
0.000 0.000 7.381
```

--- ii ---
## Dy3TeC (GGA-PBE)

Data for an optimized crystal structure of Dy3TeC. Values from VASP.

Calculated values
- Space-group type: C2/c, No. 15

Structure (Quantum ESPRESSO input):
```
&SYSTEM
  ibrav = 0, nat = 20, ntyp = 3
/
ATOMIC_SPECIES
Dy 162.50 Dy.upf
Te 127.60 Te.upf
C 12.01 C.upf
ATOMIC_POSITIONS angstrom
Dy 3.630 4.599 5.815
Dy 3.761 2.735 2.511
Dy 6.356 4.599 3.235
Dy 3.430 1.337 5.701
Dy 7.950 2.735 0.505
Dy 6.556 1.337 3.350
Dy 4.293 -1.337 2.684
Dy 2.898 -2.735 5.528
Dy 7.419 -1.337 0.333
Dy 4.493 -4.599 2.798
Dy 7.088 -2.735 3.522
Dy 7.219 -4.599 0.218
Te 1.159 0.967 3.354
Te 2.022 -0.967 0.337
Te 8.827 0.967 5.697
Te 9.689 -0.967 2.680
C 5.856 2.908 1.508
C 4.993 2.914 4.525
C 5.856 -2.914 1.508
C 4.993 -2.908 4.525
CELL_PARAMETERS angstrom
6.287 -6.735 0.000
6.287 6.735 0.000
-1.725 0.000 6.033
```

--- iii ---
## Dy3TeC (GGA-PBE)

Data for an optimized crystal structure of Dy3TeC. Values from VASP.

Calculated values
- Space-group type: Pm-3m, No. 221

Structure (Quantum ESPRESSO input):
```
&SYSTEM
  ibrav = 0, nat = 5, ntyp = 3
/
ATOMIC_SPECIES
Dy 162.50 Dy.upf
Te 127.60 Te.upf
C 12.01 C.upf
ATOMIC_POSITIONS angstrom
Dy 0.000 0.000 2.448
Dy 0.000 2.448 0.000
Dy 2.448 0.000 0.000
Te 2.448 2.448 2.448
C 0.000 0.000 0.000
CELL_PARAMETERS angstrom
4.896 0.000 0.000
0.000 4.896 0.000
0.000 0.000 4.896
```

Which of them is least stable? Easy: i.

--- i ---
## DyThC (GGA-PBE)

Data for an optimized crystal structure of DyThC. Values from VASP.

Calculated values
- Space-group type: Cm, No. 8

Structure (Quantum ESPRESSO input):
```
&SYSTEM
  ibrav = 0, nat = 3, ntyp = 3
/
ATOMIC_SPECIES
Dy 162.50 Dy.upf
Th 232.04 Th.upf
C 12.01 C.upf
ATOMIC_POSITIONS angstrom
Dy 0.000 0.000 0.000
Th 2.102 0.000 3.505
C 0.016 0.000 4.962
CELL_PARAMETERS angstrom
3.130 -1.809 0.000
3.130 1.809 0.000
-2.071 0.000 6.303
```

--- ii ---
## DyThC (GGA-PBE)

Data for an optimized crystal structure of DyThC. Values from VASP.

Calculated values
- Space-group type: Cmc2_1, No. 36

Structure (Quantum ESPRESSO input):
```
&SYSTEM
  ibrav = 0, nat = 6, ntyp = 3
/
ATOMIC_SPECIES
Dy 162.50 Dy.upf
Th 232.04 Th.upf
C 12.01 C.upf
ATOMIC_POSITIONS angstrom
Dy 1.869 3.919 3.032
Dy 1.869 -3.919 0.000
Th 1.869 0.525 3.255
Th 1.869 -0.525 0.223
C 1.869 1.904 1.402
C 1.869 -1.904 4.434
CELL_PARAMETERS angstrom
1.869 -6.424 0.000
1.869 6.424 0.000
0.000 0.000 6.063
```

Which of them is least stable? Easy: ii.

--- i ---
## DyThC2 (GGA-PBE)

Data for an optimized crystal structure of DyThC2. Values from VASP.

Calculated values
- Space-group type: R-3m, No. 166

Structure (Quantum ESPRESSO input):
```
&SYSTEM
  ibrav = 0, nat = 4, ntyp = 3
/
ATOMIC_SPECIES
Dy 162.50 Dy.upf
Th 232.04 Th.upf
C 12.01 C.upf
ATOMIC_POSITIONS angstrom
Dy 0.000 0.000 0.000
Th 0.000 0.000 8.960
C 0.000 0.000 4.469
C 0.000 0.000 13.451
CELL_PARAMETERS angstrom
1.854 1.070 5.974
-1.854 1.070 5.974
0.000 -2.141 5.974
```

--- ii ---
## DyThC2 (GGA-PBE)

Data for an optimized crystal structure of DyThC2. Values from VASP.

Calculated values
- Space-group type: R3m, No. 160

Structure (Quantum ESPRESSO input):
```
&SYSTEM
  ibrav = 0, nat = 4, ntyp = 3
/
ATOMIC_SPECIES
Dy 162.50 Dy.upf
Th 232.04 Th.upf
C 12.01 C.upf
ATOMIC_POSITIONS angstrom
Dy 0.000 0.000 0.000
Th 0.000 0.000 3.127
C 0.000 0.000 10.756
C 0.000 0.000 13.882
CELL_PARAMETERS angstrom
1.829 1.056 6.110
-1.829 1.056 6.110
0.000 -2.112 6.110
```

--- iii ---
## DyThC2 (GGA-PBE)

Data for an optimized crystal structure of DyThC2. Values from VASP.

Calculated values
- Space-group type: C2/m, No. 12

Structure (Quantum ESPRESSO input):
```
&SYSTEM
  ibrav = 0, nat = 4, ntyp = 3
/
ATOMIC_SPECIES
Dy 162.50 Dy.upf
Th 232.04 Th.upf
C 12.01 C.upf
ATOMIC_POSITIONS angstrom
Dy 0.000 0.000 0.000
Th -0.014 0.000 3.147
C 2.087 0.000 1.616
C 4.166 0.000 4.678
CELL_PARAMETERS angstrom
3.140 -1.811 0.000
3.140 1.811 0.000
-0.027 0.000 6.294
```

Which of them is least stable? Easy: iii.

--- i ---
## DyUC2 (GGA-PBE)

Data for an optimized crystal structure of DyUC2. Values from VASP.

Calculated values
- Space-group type: C2/m, No. 12

Structure (Quantum ESPRESSO input):
```
&SYSTEM
  ibrav = 0, nat = 4, ntyp = 3
/
ATOMIC_SPECIES
Dy 162.50 Dy.upf
U 238.03 U.upf
C 12.01 C.upf
ATOMIC_POSITIONS angstrom
Dy 0.000 0.000 0.000
U -0.006 0.000 2.971
C 2.030 0.000 4.230
C 4.076 0.000 1.712
CELL_PARAMETERS angstrom
3.059 -1.766 0.000
3.059 1.766 0.000
-0.012 0.000 5.941
```

--- ii ---
## DyUC2 (GGA-PBE)

Data for an optimized crystal structure of DyUC2. Values from VASP.

Calculated values
- Space-group type: R3m, No. 160

Structure (Quantum ESPRESSO input):
```
&SYSTEM
  ibrav = 0, nat = 4, ntyp = 3
/
ATOMIC_SPECIES
Dy 162.50 Dy.upf
U 238.03 U.upf
C 12.01 C.upf
ATOMIC_POSITIONS angstrom
Dy 0.000 0.000 0.000
U 0.000 0.000 14.470
C 0.000 0.000 4.015
C 0.000 0.000 7.384
CELL_PARAMETERS angstrom
1.770 1.022 5.830
-1.770 1.022 5.830
0.000 -2.044 5.830
```

Which of them is least stable? Easy: i.

--- i ---
## DyU2C3 (GGA-PBE)

Data for an optimized crystal structure of DyU2C3. Values from VASP.

Calculated values
- Space-group type: Immm, No. 71

Structure (Quantum ESPRESSO input):
```
&SYSTEM
  ibrav = 0, nat = 6, ntyp = 3
/
ATOMIC_SPECIES
Dy 162.50 Dy.upf
U 238.03 U.upf
C 12.01 C.upf
ATOMIC_POSITIONS angstrom
Dy 0.000 0.000 0.000
U 0.000 0.000 3.485
U 0.000 0.000 6.901
C 1.770 0.000 1.927
C 0.000 2.523 0.000
C 0.000 2.523 3.266
CELL_PARAMETERS angstrom
-1.770 2.523 5.193
1.770 -2.523 5.193
1.770 2.523 -5.193
```

--- ii ---
## DyU2C3 (GGA-PBE)

Data for an optimized crystal structure of DyU2C3. Values from VASP.

Calculated values
- Space-group type: Pmma, No. 51

Structure (Quantum ESPRESSO input):
```
&SYSTEM
  ibrav = 0, nat = 12, ntyp = 3
/
ATOMIC_SPECIES
Dy 162.50 Dy.upf
U 238.03 U.upf
C 12.01 C.upf
ATOMIC_POSITIONS angstrom
Dy 1.528 0.000 0.652
Dy 4.585 0.000 8.415
U 1.528 0.000 6.491
U 1.528 1.639 3.555
U 4.585 0.000 2.576
U 4.585 1.639 5.513
C 0.000 0.000 4.534
C 0.038 1.639 7.339
C 3.019 1.639 7.339
C 3.057 0.000 4.534
C 3.095 1.639 1.729
C 6.076 1.639 1.729
CELL_PARAMETERS angstrom
6.114 0.000 0.000
0.000 3.278 0.000
0.000 0.000 9.067
```

Which of them is least stable? Easy: ii.

--- i ---
## DyYC (GGA-PBE)

Data for an optimized crystal structure of DyYC. Values from VASP.

Calculated values
- Space-group type: P3m1, No. 156

Structure (Quantum ESPRESSO input):
```
&SYSTEM
  ibrav = 0, nat = 3, ntyp = 3
/
ATOMIC_SPECIES
Dy 162.50 Dy.upf
Y 88.91 Y.upf
C 12.01 C.upf
ATOMIC_POSITIONS angstrom
Dy 0.000 0.000 0.000
Y 1.792 1.035 3.551
C 0.000 2.070 4.925
CELL_PARAMETERS angstrom
3.585 0.000 0.000
-1.792 3.104 0.000
0.000 0.000 6.257
```

--- ii ---
## DyYC (GGA-PBE)

Data for an optimized crystal structure of DyYC. Values from VASP.

Calculated values
- Space-group type: C2/m, No. 12

Structure (Quantum ESPRESSO input):
```
&SYSTEM
  ibrav = 0, nat = 6, ntyp = 3
/
ATOMIC_SPECIES
Dy 162.50 Dy.upf
Y 88.91 Y.upf
C 12.01 C.upf
ATOMIC_POSITIONS angstrom
Dy 0.972 0.000 2.275
Dy 10.449 0.000 3.878
Y 4.727 0.000 0.795
Y 6.695 0.000 5.357
C 0.000 0.000 0.000
C 5.711 0.000 3.076
CELL_PARAMETERS angstrom
6.236 -1.803 0.000
6.236 1.803 0.000
-1.050 0.000 6.152
```

Which of them is least stable? Easy: i.